# 1
The following is a PBE calculation of crystalline MgP at its relaxed geometry, from Alexandria via LeMat-Bulk.

Summary:
- formation energy from the elements (eV/atom) = -0.054
- space-group type = I4/m (87)
- E above lowest polymorph (kJ/mol of atoms) = 45.0

a b c (Å): 8.188 8.188 8.188
angles (deg): 92.39 92.39 156.43
Element x y z (fractional)
Mg 0.021 0.324 0.345
Mg 0.324 0.979 0.303
Mg 0.676 0.021 0.697
Mg 0.979 0.676 0.655
P 0.200 0.700 0.900
P 0.300 0.200 0.500
P 0.700 0.800 0.500
P 0.800 0.300 0.100

# 2
The following is a PBE calculation of crystalline CaHo4ScSe8 at its relaxed geometry, from Alexandria via LeMat-Bulk.

Summary:
- E_form (uncorrected) (eV/atom) = -1.761
- space-group type = R3m (160)

a b c (Å): 8.308 8.308 8.308
angles (deg): 60.80 60.80 60.80
Element x y z (fractional)
Ca 0.000 0.000 0.000
Ho 0.115 0.624 0.624
Ho 0.245 0.245 0.245
Ho 0.624 0.115 0.624
Ho 0.624 0.624 0.115
Sc 0.624 0.624 0.624
Se 0.379 0.379 0.379
Se 0.385 0.385 0.845
Se 0.385 0.845 0.385
Se 0.406 0.855 0.855
Se 0.845 0.385 0.385
Se 0.855 0.406 0.855
Se 0.855 0.855 0.406
Se 0.863 0.863 0.863

# 3
The following is a PBE calculation of crystalline AlTcBr2 at its relaxed geometry, from Alexandria via LeMat-Bulk.

Summary:
- E_form (uncorrected) (eV/atom) = 0.099
- space-group type = P4mm (99)
- E above lowest polymorph (kJ/mol of atoms) = 29.0

a b c (Å): 3.150 3.150 8.555
angles (deg): 90.00 90.00 90.00
Element x y z (fractional)
Al 0.000 0.000 0.000
Tc 0.500 0.500 0.813
Br 0.000 0.000 0.629
Br 0.500 0.500 0.214

| no. | E (eV for the cell shown) |
| --- | --- |
| 1 | -28.45 |
| 2 | -79.17 |
| 3 | -17.06 |